Record 1
YNi5Au after structural relaxation, computed with PBE-GGA.

a = 7.9989 Å, b = 4.8520 Å, c = 10.1972 Å
α = 90.00°, β = 90.00°, γ = 90.00°
Last column: nearest neighbours and their distance in Å.
Atoms (fractional coordinates):
Y: 0.2421 0.2500 0.0603  10 Ni 2.81-3.14, 1 Au 3.13
Y: 0.2579 0.7500 0.5603  10 Ni 2.81-3.14, 1 Au 3.13
Y: 0.7421 0.2500 0.4397  10 Ni 2.81-3.14, 1 Au 3.13
Y: 0.7579 0.7500 0.9397  10 Ni 2.81-3.14, 1 Au 3.13
Ni: 0.0520 0.7500 0.1089  4 Ni 2.43-2.50, 1 Au 2.60
Ni: 0.0674 0.0010 0.3146  7 Ni 2.41-2.44
Ni: 0.0674 0.4990 0.3146  7 Ni 2.41-2.44
Ni: 0.0890 0.2500 0.5182  5 Ni 2.41-2.44
Ni: 0.1869 0.2500 0.7440  7 Ni 2.42-2.50
Ni: 0.3131 0.7500 0.2440  7 Ni 2.42-2.50
Ni: 0.4110 0.7500 0.0182  5 Ni 2.41-2.44
Ni: 0.4326 0.5010 0.8146  7 Ni 2.41-2.44
Ni: 0.4326 0.9990 0.8146  7 Ni 2.41-2.44
Ni: 0.4480 0.2500 0.6089  4 Ni 2.43-2.50, 1 Au 2.60
Ni: 0.5520 0.7500 0.3911  4 Ni 2.43-2.50, 1 Au 2.60
Ni: 0.5674 0.0010 0.1854  7 Ni 2.41-2.44
Ni: 0.5674 0.4990 0.1854  7 Ni 2.41-2.44
Ni: 0.5890 0.2500 0.9818  5 Ni 2.41-2.44
Ni: 0.6869 0.2500 0.7560  7 Ni 2.42-2.50
Ni: 0.8131 0.7500 0.2560  7 Ni 2.42-2.50
Ni: 0.9110 0.7500 0.4818  5 Ni 2.41-2.44
Ni: 0.9326 0.5010 0.6854  7 Ni 2.41-2.44
Ni: 0.9326 0.9990 0.6854  7 Ni 2.41-2.44
Ni: 0.9480 0.2500 0.8911  4 Ni 2.43-2.50, 1 Au 2.60
Au: 0.1369 0.7500 0.8624  10 Ni 2.60-2.87
Au: 0.3631 0.2500 0.3624  10 Ni 2.60-2.87
Au: 0.6369 0.7500 0.6376  10 Ni 2.60-2.87
Au: 0.8631 0.2500 0.1376  10 Ni 2.60-2.87

DOS at the Fermi energy   36.20 states/eV per cell
Energy relative to the elements   -0.274 eV/atom
DFT total energy   -162.3 eV/cell


Record 2
NdAl2AgAu5 after structural relaxation, computed with PBE-GGA.

a = 4.8750 Å, b = 4.8750 Å, c = 7.8302 Å
α = 90.00°, β = 90.00°, γ = 90.00°
Last column: nearest neighbours and their distance in Å.
Atoms (fractional coordinates):
Nd: 0.0000 0.0000 0.0000  12 Au 3.11-3.45
Al: 0.5000 0.5000 0.3389  1 Al 2.52, 5 Au 2.54-2.65
Al: 0.5000 0.5000 0.6611  1 Al 2.52, 5 Au 2.54-2.65
Ag: 0.0000 0.0000 0.5000  8 Au 3.14
Au: 0.0000 0.5000 0.2476  2 Al 2.54
Au: 0.0000 0.5000 0.7524  2 Al 2.54
Au: 0.5000 0.0000 0.2476  2 Al 2.54
Au: 0.5000 0.0000 0.7524  2 Al 2.54
Au: 0.5000 0.5000 0.0000  2 Al 2.65

DOS at the Fermi energy   3.14 states/eV per cell
Energy relative to the elements   -0.323 eV/atom
DFT total energy   -34.4 eV/cell


Record 3
CdInN2 after structural relaxation, computed with PBE-GGA.

a = 4.2009 Å, b = 4.2009 Å, c = 4.2009 Å
α = 60.00°, β = 60.00°, γ = 60.00°
Last column: nearest neighbours and their distance in Å.
Atoms (fractional coordinates):
Cd: 0.0000 0.0000 0.0000  8 N 2.57
In: 0.5000 0.5000 0.5000  8 N 2.57
N: 0.2500 0.2500 0.2500  4 In 2.57, 4 Cd 2.57
N: 0.7500 0.7500 0.7500  4 Cd 2.57, 4 In 2.57

DOS at the Fermi energy   1.46 states/eV per cell
ΔE to the lowest computed polymorph   1049.8 meV/atom
Formation energy without anion corrections   28.91 kcal/mol of atoms
DFT total energy   -15.3 eV/cell


Record 4
Ca5Er after structural relaxation, computed with PBE-GGA.

a = 9.8493 Å, b = 9.8493 Å, c = 4.0249 Å
α = 90.00°, β = 90.00°, γ = 143.24°
Last column: nearest neighbours and their distance in Å.
Atoms (fractional coordinates):
Ca: 0.0000 0.0000 0.0000  4 Er 3.70, 6 Ca 3.73-4.02
Ca: 0.1680 0.8320 0.5000  10 Ca 3.71-4.02
Ca: 0.3415 0.6585 0.0000  2 Er 3.58, 6 Ca 3.71-3.82
Ca: 0.6585 0.3415 0.0000  2 Er 3.58, 6 Ca 3.71-3.82
Ca: 0.8320 0.1680 0.5000  10 Ca 3.71-4.02
Er: 0.5000 0.5000 0.5000  8 Ca 3.58-3.70

DOS at the Fermi energy   8.59 states/eV per cell
Energy relative to the elements   0.096 eV/atom
DFT total energy   -14.0 eV/cell